# 1
In2GaBi: optimized geometry, PBE.

Cell and atoms, written as extended XYZ:
```
8
Lattice="4.435 0.000 0.000 0.000 9.552 0.000 -1.946 0.000 5.162" Properties=species:S:1:pos:R:3 pbc="T T T"
In 0.208 0.550 1.471
In 0.208 4.226 1.471
In 2.281 5.326 3.691
In 2.281 9.001 3.691
Ga -0.066 7.164 2.345
Ga 2.556 2.388 2.817
Bi 0.358 2.388 4.866
Bi 2.132 7.164 0.296
```

Calculated density ... 7.720 Mg/m³
Size of the total moment ... 0.0 μB per formula unit
D(E_F) ... 0.377 states/eV/atom
Space group ... P2_1/m, No. 11
Energy above the most stable polymorph in this dataset ... 0.03 eV/f.u.


# 2
AcHfZr: optimized geometry, PBE.

Cell and atoms, written as extended XYZ:
```
3
Lattice="-1.693 1.693 7.471 1.693 -1.693 7.471 1.693 1.693 -7.471" Properties=species:S:1:pos:R:3 pbc="T T T"
Ac 0.000 0.000 0.000
Hf 0.000 0.000 10.183
Zr 0.000 0.000 4.713
```

Calculated density ... 9.635 Mg/m³
Size of the total moment ... 0.0 μB per formula unit
D(E_F) ... 1.266 states/eV/atom
Space group ... I4mm, No. 107
Energy above the most stable polymorph in this dataset ... 0.00 eV/f.u.


# 3
PuBrCl6: optimized geometry, PBE.

Cell and atoms, written as extended XYZ:
```
8
Lattice="5.173 -6.117 0.000 5.173 6.117 0.000 -3.898 0.000 5.350" Properties=species:S:1:pos:R:3 pbc="T T T"
Pu 0.000 0.000 0.000
Br 3.224 0.000 2.675
Cl 1.557 4.366 3.632
Cl 4.891 4.366 1.718
Cl 2.673 0.000 0.331
Cl 3.775 0.000 5.019
Cl 1.557 -4.366 3.632
Cl 4.891 -4.366 1.718
```

Calculated density ... 2.632 Mg/m³
E_form (uncorrected) ... -1.0333 eV per atom
Size of the total moment ... 3.0 μB per formula unit
D(E_F) ... 0.818 states/eV/atom
Space group ... C2/m, No. 12


# 4
Sn2OsRu: optimized geometry, PBE.

Cell and atoms, written as extended XYZ:
```
4
Lattice="0.000 3.263 3.263 3.263 0.000 3.263 3.263 3.263 0.000" Properties=species:S:1:pos:R:3 pbc="T T T"
Sn 1.631 1.631 1.631
Sn 4.894 4.894 4.894
Os 0.000 0.000 0.000
Ru 3.263 3.263 3.263
```

Calculated density ... 12.636 Mg/m³
Size of the total moment ... 0.0 μB per formula unit
D(E_F) ... 0.095 states/eV/atom
Space group ... Fm-3m, No. 225
Energy above the most stable polymorph in this dataset ... 0.00 eV/f.u.


# 5
Tb4Pr6Dy: optimized geometry, PBE.

Cell and atoms, written as extended XYZ:
```
11
Lattice="-3.430 3.430 8.273 3.430 -3.430 8.273 3.430 3.430 -8.273" Properties=species:S:1:pos:R:3 pbc="T T T"
Tb 2.231 2.231 -1.887
Tb 1.198 -1.198 10.160
Tb 1.198 1.198 6.387
Tb -1.198 1.198 10.160
Pr 3.430 0.000 0.000
Pr 2.115 -2.115 5.323
Pr 1.315 1.315 2.950
Pr 0.000 3.430 0.000
Pr -2.115 2.115 5.323
Pr 2.115 2.115 11.223
Dy 0.000 0.000 0.000
```

Calculated density ... 7.012 Mg/m³
Size of the total moment ... 0.0 μB per formula unit
D(E_F) ... 1.410 states/eV/atom
Space group ... I-42m, No. 121
Energy above the most stable polymorph in this dataset ... 0.11 eV/f.u.


# 6
ZrH: optimized geometry, PBE.

Cell and atoms, written as extended XYZ:
```
4
Lattice="2.088 -2.466 0.000 2.088 2.466 0.000 0.000 0.000 5.036" Properties=species:S:1:pos:R:3 pbc="T T T"
Zr 1.044 1.233 0.000
Zr 1.044 -1.233 2.518
H 0.000 0.000 1.259
H 0.000 0.000 3.777
```

Calculated density ... 5.906 Mg/m³
Size of the total moment ... 0.0 μB per formula unit
Total energy ... -6.38 eV per atom
D(E_F) ... 0.782 states/eV/atom
Space group ... Cccm, No. 66


# 7
Ho3TlRu: optimized geometry, PBE.

Cell and atoms, written as extended XYZ:
```
10
Lattice="6.410 -2.643 0.000 6.410 2.643 0.000 -3.490 0.000 7.783" Properties=species:S:1:pos:R:3 pbc="T T T"
Ho 0.143 0.000 1.791
Ho 0.256 0.000 5.643
Ho 4.778 0.000 0.977
Ho 4.552 0.000 6.806
Ho 9.073 0.000 2.140
Ho 9.186 0.000 5.991
Tl 3.027 0.000 3.928
Tl 6.303 0.000 3.854
Ru 2.195 0.000 0.104
Ru 7.135 0.000 7.678
```

Calculated density ... 10.077 Mg/m³
Size of the total moment ... 0.0 μB per formula unit
D(E_F) ... 0.721 states/eV/atom
Space group ... C2/m, No. 12
Energy above the most stable polymorph in this dataset ... 0.40 eV/f.u.


# 8
Li2PuAl2Ga2: optimized geometry, PBE.

Cell and atoms, written as extended XYZ:
```
7
Lattice="2.199 1.270 7.555 -2.199 1.270 7.555 0.000 -2.539 7.555" Properties=species:S:1:pos:R:3 pbc="T T T"
Li 0.000 0.000 3.285
Li 0.000 0.000 19.382
Pu 0.000 0.000 0.000
Al 0.000 0.000 9.809
Al 0.000 0.000 12.857
Ga 0.000 0.000 5.982
Ga 0.000 0.000 16.685
```

Calculated density ... 5.923 Mg/m³
Size of the total moment ... 5.3 μB per formula unit
Total energy ... -4.81 eV per atom
D(E_F) ... 1.705 states/eV/atom
Space group ... R-3m, No. 166


# 9
Nd5BiRh2: optimized geometry, PBE.

Cell and atoms, written as extended XYZ:
```
16
Lattice="-4.043 4.043 6.938 4.043 -4.043 6.938 4.043 4.043 -6.938" Properties=species:S:1:pos:R:3 pbc="T T T"
Nd 0.000 0.000 0.000
Nd 5.311 1.267 -1.868
Nd 1.267 2.776 -1.868
Nd 5.311 1.267 1.868
Nd 1.267 2.776 1.868
Nd 0.000 0.000 6.938
Nd 2.776 1.267 5.070
Nd -1.267 2.776 5.070
Nd 2.776 1.267 8.806
Nd -1.267 2.776 8.806
Bi 0.000 0.000 3.469
Bi 0.000 0.000 10.407
Rh 2.909 1.134 0.000
Rh 2.909 -1.134 6.938
Rh 1.134 5.177 0.000
Rh 1.134 2.909 6.938
```

Calculated density ... 8.315 Mg/m³
Size of the total moment ... 0.0 μB per formula unit
Total energy ... -5.93 eV per atom
D(E_F) ... 0.970 states/eV/atom
Space group ... I4/mcm, No. 140


# 10
Er2HBr: optimized geometry, PBE.

Cell and atoms, written as extended XYZ:
```
4
Lattice="1.798 1.038 7.248 -1.798 1.038 7.248 0.000 -2.077 7.248" Properties=species:S:1:pos:R:3 pbc="T T T"
Er 0.000 0.000 4.914
Er 0.000 0.000 16.830
H 0.000 0.000 10.872
Br 0.000 0.000 0.000
```

Calculated density ... 8.495 Mg/m³
Size of the total moment ... 0.0 μB per formula unit
Total energy ... -4.21 eV per atom
D(E_F) ... 0.369 states/eV/atom
Space group ... R-3m, No. 166


# 11
CdPb2Br6: optimized geometry, PBE.

Cell and atoms, written as extended XYZ:
```
18
Lattice="6.998 0.000 0.000 0.000 6.998 0.000 0.000 0.000 13.410" Properties=species:S:1:pos:R:3 pbc="T T T"
Cd 0.000 0.000 0.000
Cd 3.499 3.499 6.705
Pb 0.000 0.000 4.482
Pb 0.000 0.000 8.928
Pb 3.499 3.499 2.223
Pb 3.499 3.499 11.187
Br 1.333 1.333 2.082
Br 1.333 1.333 11.328
Br 1.474 1.474 6.705
Br 2.025 4.973 0.000
Br 2.166 4.832 4.623
Br 2.166 4.832 8.788
Br 4.832 2.166 4.623
Br 4.832 2.166 8.788
Br 4.973 2.025 0.000
Br 5.524 5.524 6.705
Br 5.665 5.665 2.082
Br 5.665 5.665 11.328
```

Calculated density ... 5.088 Mg/m³
E_form (uncorrected) ... -0.8633 eV per atom
Size of the total moment ... 0.0 μB per formula unit
D(E_F) ... 0.000 states/eV/atom
Space group ... P4_2/mnm, No. 136
Energy above the most stable polymorph in this dataset ... 0.20 eV/f.u.


# 12
RbNaI: optimized geometry, PBE.

Cell and atoms, written as extended XYZ:
```
3
Lattice="-2.148 2.148 7.790 2.148 -2.148 7.790 2.148 2.148 -7.790" Properties=species:S:1:pos:R:3 pbc="T T T"
Rb 0.000 0.000 0.000
Na 0.000 0.000 4.136
I 0.000 0.000 10.153
```

Calculated density ... 2.719 Mg/m³
E_form (uncorrected) ... -0.7700 eV per atom
Size of the total moment ... 0.0 μB per formula unit
D(E_F) ... 0.328 states/eV/atom
Space group ... I4mm, No. 107
Energy above the most stable polymorph in this dataset ... 0.40 eV/f.u.


# 13
Pr6TlIn3: optimized geometry, PBE.

Cell and atoms, written as extended XYZ:
```
20
Lattice="9.912 0.000 0.000 0.000 5.435 0.000 -3.314 0.000 11.518" Properties=species:S:1:pos:R:3 pbc="T T T"
Pr -0.922 1.359 4.749
Pr 0.992 4.076 2.051
Pr -0.803 1.359 11.473
Pr 0.629 4.076 9.245
Pr 2.610 1.359 3.965
Pr 1.914 1.359 7.142
Pr 4.685 4.076 4.377
Pr 3.989 4.076 7.553
Pr 5.970 1.359 2.273
Pr 7.402 4.076 0.046
Pr 5.607 1.359 9.468
Pr 7.521 4.076 6.769
Tl 4.164 4.076 1.196
Tl 2.435 1.359 10.323
In -2.621 4.076 10.166
In -1.213 1.359 8.202
In 1.145 4.076 5.446
In 5.453 1.359 6.072
In 7.811 4.076 3.317
In 9.219 1.359 1.352
```

Calculated density ... 7.462 Mg/m³
Size of the total moment ... 0.0 μB per formula unit
D(E_F) ... 0.972 states/eV/atom
Space group ... P2_1/m, No. 11
Energy above the most stable polymorph in this dataset ... 0.00 eV/f.u.


# 14
NpInGa: optimized geometry, PBE.

Cell and atoms, written as extended XYZ:
```
3
Lattice="5.066 0.000 0.000 -2.533 4.388 0.000 0.000 0.000 2.970" Properties=species:S:1:pos:R:3 pbc="T T T"
Np 0.000 0.000 0.000
In 2.533 1.463 1.485
Ga 0.000 2.925 1.485
```

Calculated density ... 10.602 Mg/m³
Size of the total moment ... 4.3 μB per formula unit
D(E_F) ... 2.390 states/eV/atom
Space group ... P-6m2, No. 187
Energy above the most stable polymorph in this dataset ... 0.11 eV/f.u.